[1]
Here is a relaxed structure of TlBiS2Cl from the Alexandria database. Energies are from GGA-PBE. Values from VASP.

Geometry as Quantum ESPRESSO input:
```
&SYSTEM
  ibrav = 0, nat = 5, ntyp = 4
/
ATOMIC_SPECIES
S 32.06 S.upf
Bi 208.98 Bi.upf
Cl 35.45 Cl.upf
Tl 204.38 Tl.upf
CELL_PARAMETERS angstrom
5.1861 0.0000 0.0000
0.0000 5.1861 0.0000
0.0000 0.0000 5.0979
ATOMIC_POSITIONS angstrom
S 2.5930 0.0000 0.0000
Bi 2.5930 2.5930 2.5489
Cl 0.0000 0.0000 2.5489
S 0.0000 2.5930 0.0000
Tl 0.0000 0.0000 0.0000
```

Properties
The raw total energy comes out at -15.0 eV/cell. Its symmetry is P4/mmm. The formation energy (no corrections) is 260 meV/atom. For the offset from the most stable computed form, the calculation gives 2.51 eV/f.u. Its size of the total moment is 0.00 μB/f.u.

***

[2]
Here is a relaxed structure of ZrUTi2 from the Alexandria database. Energies are from GGA-PBE. Values from VASP.

Geometry as Quantum ESPRESSO input:
```
&SYSTEM
  ibrav = 0, nat = 4, ntyp = 3
/
ATOMIC_SPECIES
U 238.03 U.upf
Ti 47.87 Ti.upf
Zr 91.22 Zr.upf
CELL_PARAMETERS angstrom
3.3219 0.0000 0.0000
0.0000 3.3219 0.0000
0.0000 0.0000 7.0672
ATOMIC_POSITIONS angstrom
U 1.6609 1.6609 0.0000
Ti 0.0000 0.0000 5.5023
Zr 1.6609 1.6609 3.5336
Ti 0.0000 0.0000 1.5648
```

Properties
The raw total energy comes out at -34.9 eV/cell. Its symmetry is P4/mmm. For the offset from the most stable computed form, the calculation gives 0.00 eV/f.u. Its formation energy is 18.0 kJ per mole of atoms. Its size of the total moment is 1.49 μB/f.u.